1.
This record from Alexandria via LeMat-Bulk describes an optimized crystal structure of TbThMg. The functional is PBE-GGA.

Results
Formation energy (eV/atom): 0.0126

a b c (Å): 3.557 3.557 14.156
angles (deg): 90.00 90.00 90.00
Space group I4mm (No. 107)
Asymmetric unit:
Tb (0.000, 0.000, 0.000) x2
Th (0.000, 0.000, 0.676) x2
Mg (0.000, 0.000, 0.342) x2


2.
This record from Alexandria via LeMat-Bulk describes an optimized crystal structure of Tb2ThMg. The functional is PBE-GGA.

Results
Formation energy (eV/atom): 0.0251

a b c (Å): 3.5424 3.5424 33.7214
angles (deg): 90.00 90.00 120.00
Space group R3m (No. 160, hexagonal axes)
Asymmetric unit:
Tb (0.0000, 0.0000, 0.0000) x3
Tb (0.0000, 0.0000, 0.1666) x3
Th (0.0000, 0.0000, 0.5835) x3
Mg (0.0000, 0.0000, 0.4167) x3


3.
This record from Alexandria via LeMat-Bulk describes an optimized crystal structure of Tb2ThMg. The functional is PBE-GGA.

Results
Formation energy (eV/atom): -0.0473

a b c (Å): 3.593 3.593 9.227
angles (deg): 90.00 90.00 90.00
Space group P4/mmm (No. 123)
Asymmetric unit:
Tb (0.000, 0.000, 0.240) x2
Th (0.500, 0.500, 0.500) x1
Mg (0.500, 0.500, 0.000) x1


Number 1: energy above the most stable polymorph in this dataset 37.8 meV per atom. Number 2: energy above the most stable polymorph in this dataset 72.4 meV per atom. Number 3: energy above the most stable polymorph in this dataset 0.0 meV per atom.